DFT (GGA-PBE) results for crystalline Sr12LiTl6 at its relaxed geometry.

Structure (POSCAR):
```
Sr12LiTl6
1.0
7.151 4.128 4.871
-7.151 4.128 4.871
0.000 -8.257 4.871
Sr Li Tl
12 1 6
direct
0.015 0.669 0.917 Sr
0.083 0.985 0.331 Sr
0.185 0.437 0.576 Sr
0.331 0.083 0.985 Sr
0.424 0.815 0.563 Sr
0.437 0.576 0.185 Sr
0.563 0.424 0.815 Sr
0.576 0.185 0.437 Sr
0.669 0.917 0.015 Sr
0.815 0.563 0.424 Sr
0.917 0.015 0.669 Sr
0.985 0.331 0.083 Sr
0.000 0.000 0.000 Li
0.130 0.642 0.291 Tl
0.291 0.130 0.642 Tl
0.358 0.709 0.870 Tl
0.642 0.291 0.130 Tl
0.709 0.870 0.358 Tl
0.870 0.358 0.709 Tl
```

Results
The density of states at the Fermi level comes out at 1.25 states/eV/atom. As for the energy of formation: -87 meV per atom. Its theoretical density is 4.4 Mg/m³. The uncorrected energy is -1.997 eV per atom.

DFT (GGA-PBE) results for crystalline Hf2GaBi at its relaxed geometry.

Structure (POSCAR):
```
Hf2GaBi
1.0
1.966 1.135 6.927
-1.966 1.135 6.927
0.000 -2.270 6.927
Hf Ga Bi
2 1 1
direct
0.238 0.238 0.238 Hf
0.762 0.762 0.762 Hf
0.500 0.500 0.500 Ga
0.000 0.000 0.000 Bi
```

Results
The density of states at the Fermi level comes out at 0.28 states/eV/atom. As for the energy of formation: -153 meV per atom. Its theoretical density is 11.4 Mg/m³. The uncorrected energy is -6.857 eV per atom. As for the relative energy among the computed polymorphs: 0 kJ/mol of formula units.

DFT (GGA-PBE) results for crystalline ScMoPS2 at its relaxed geometry.

Structure (POSCAR):
```
ScMoPS2
1.0
4.624 0.000 0.000
0.000 4.624 0.000
0.000 0.000 4.798
Sc Mo P S
1 1 1 2
direct
0.000 0.000 0.000 Sc
0.500 0.500 0.500 Mo
0.500 0.500 0.000 P
0.000 0.500 0.500 S
0.500 0.000 0.500 S
```

Results
The density of states at the Fermi level comes out at 0.84 states/eV/atom. Its theoretical density is 3.8 Mg/m³. The uncorrected energy is -6.316 eV per atom. As for the relative energy among the computed polymorphs: 0 kJ/mol of formula units.

DFT (GGA-PBE) results for crystalline Cs2TiCuS4 at its relaxed geometry.

Structure (POSCAR):
```
Cs2TiCuS4
1.0
0.000 7.092 12.749
2.840 0.000 12.749
2.840 7.092 0.000
Cs Ti Cu S
4 2 2 8
direct
0.051 0.051 0.699 Cs
0.301 0.301 0.949 Cs
0.699 0.699 0.051 Cs
0.949 0.949 0.301 Cs
0.125 0.125 0.125 Ti
0.875 0.875 0.875 Ti
0.375 0.375 0.375 Cu
0.625 0.625 0.625 Cu
0.019 0.330 0.410 S
0.259 0.590 0.670 S
0.330 0.019 0.741 S
0.410 0.741 0.019 S
0.590 0.259 0.981 S
0.670 0.981 0.259 S
0.741 0.410 0.330 S
0.981 0.670 0.590 S
```

Results
The density of states at the Fermi level comes out at 0.85 states/eV/atom. Its theoretical density is 3.3 Mg/m³. The uncorrected energy is -4.876 eV per atom.

DFT (GGA-PBE) results for crystalline SrSn3Ge at its relaxed geometry.

Structure (POSCAR):
```
SrSn3Ge
1.0
5.453 0.000 0.000
0.000 5.453 0.000
0.000 0.000 5.453
Sr Sn Ge
1 3 1
direct
0.000 0.000 0.000 Sr
0.000 0.500 0.500 Sn
0.500 0.000 0.500 Sn
0.500 0.500 0.000 Sn
0.500 0.500 0.500 Ge
```

Results
The density of states at the Fermi level comes out at 0.78 states/eV/atom. As for the energy of formation: 74 meV per atom. Its theoretical density is 5.3 Mg/m³. The uncorrected energy is -3.588 eV per atom. As for the relative energy among the computed polymorphs: 0 kJ/mol of formula units.

DFT (GGA-PBE) results for crystalline Dy4NiTe at its relaxed geometry.

Structure (POSCAR):
```
Dy4NiTe
1.0
7.523 -3.368 0.000
7.523 3.368 0.000
-2.065 0.000 6.730
Dy Ni Te
8 2 2
direct
0.016 0.175 0.471 Dy
0.175 0.016 0.971 Dy
0.252 0.403 0.846 Dy
0.403 0.252 0.346 Dy
0.597 0.748 0.654 Dy
0.748 0.597 0.154 Dy
0.825 0.984 0.029 Dy
0.984 0.825 0.529 Dy
0.000 0.500 0.500 Ni
0.500 0.000 0.000 Ni
0.336 0.664 0.250 Te
0.664 0.336 0.750 Te
```

Results
The density of states at the Fermi level comes out at 1.07 states/eV/atom. Its theoretical density is 8.1 Mg/m³. The uncorrected energy is -4.998 eV per atom. As for the relative energy among the computed polymorphs: 86 kJ/mol of formula units.

DFT (GGA-PBE) results for crystalline AcPa2BiO8 at its relaxed geometry.

Structure (POSCAR):
```
AcPa2BiO8
1.0
3.901 0.000 0.000
0.000 5.708 0.000
0.000 0.000 7.765
Ac Pa Bi O
1 2 1 8
direct
0.000 0.000 0.000 Ac
0.500 0.500 0.253 Pa
0.500 0.500 0.747 Pa
0.000 0.000 0.500 Bi
0.000 0.276 0.256 O
0.000 0.276 0.744 O
0.000 0.724 0.256 O
0.000 0.724 0.744 O
0.500 0.270 0.500 O
0.500 0.280 0.000 O
0.500 0.720 0.000 O
0.500 0.730 0.500 O
```

Results
The density of states at the Fermi level comes out at 0.00 states/eV/atom. Its theoretical density is 9.9 Mg/m³. The uncorrected energy is -8.678 eV per atom.

DFT (GGA-PBE) results for crystalline Zr2TiAu at its relaxed geometry.

Structure (POSCAR):
```
Zr2TiAu
1.0
0.000 3.418 3.418
3.418 0.000 3.418
3.418 3.418 0.000
Zr Ti Au
2 1 1
direct
0.250 0.250 0.250 Zr
0.750 0.750 0.750 Zr
0.000 0.000 0.000 Ti
0.500 0.500 0.500 Au
```

Results
The density of states at the Fermi level comes out at 1.35 states/eV/atom. As for the energy of formation: -142 meV per atom. Its theoretical density is 8.9 Mg/m³. The uncorrected energy is -7.209 eV per atom. As for the relative energy among the computed polymorphs: 54 kJ/mol of formula units.

DFT (GGA-PBE) results for crystalline Hg2Pd2Rh at its relaxed geometry.

Structure (POSCAR):
```
Hg2Pd2Rh
1.0
7.042 0.000 0.000
0.000 7.042 0.000
0.000 0.000 3.714
Hg Pd Rh
4 4 2
direct
0.170 0.330 0.000 Hg
0.330 0.830 0.000 Hg
0.670 0.170 0.000 Hg
0.830 0.670 0.000 Hg
0.133 0.633 0.500 Pd
0.367 0.133 0.500 Pd
0.633 0.867 0.500 Pd
0.867 0.367 0.500 Pd
0.000 0.000 0.500 Rh
0.500 0.500 0.500 Rh
```

Results
The density of states at the Fermi level comes out at 0.84 states/eV/atom. As for the energy of formation: 179 meV per atom. Its theoretical density is 12.9 Mg/m³. The uncorrected energy is -3.489 eV per atom. As for the relative energy among the computed polymorphs: 0 kJ/mol of formula units.

DFT (GGA-PBE) results for crystalline BaLa3 at its relaxed geometry.

Structure (POSCAR):
```
BaLa3
1.0
4.461 0.000 0.000
0.000 4.461 0.000
0.000 0.000 8.480
Ba La
1 3
direct
0.000 0.000 0.000 Ba
0.000 0.000 0.500 La
0.500 0.500 0.299 La
0.500 0.500 0.701 La
```

Results
The density of states at the Fermi level comes out at 1.99 states/eV/atom. As for the energy of formation: 173 meV per atom. Its theoretical density is 5.5 Mg/m³. The uncorrected energy is -4.003 eV per atom. As for the relative energy among the computed polymorphs: 34 kJ/mol of formula units.

DFT (GGA-PBE) results for crystalline Co2SiTc at its relaxed geometry.

Structure (POSCAR):
```
Co2SiTc
1.0
2.810 0.000 0.000
0.000 2.810 0.000
0.000 0.000 5.996
Co Si Tc
2 1 1
direct
0.000 0.000 0.000 Co
0.500 0.500 0.263 Co
0.000 0.000 0.464 Si
0.500 0.500 0.739 Tc
```

Results
The density of states at the Fermi level comes out at 0.94 states/eV/atom. Its theoretical density is 8.6 Mg/m³. The uncorrected energy is -7.670 eV per atom.

DFT (GGA-PBE) results for crystalline IrRhW2 at its relaxed geometry.

Structure (POSCAR):
```
IrRhW2
1.0
1.395 0.805 9.169
-1.395 0.805 9.169
0.000 -1.610 9.169
Ir Rh W
1 1 2
direct
0.000 0.000 0.000 Ir
0.247 0.247 0.247 Rh
0.503 0.503 0.503 W
0.745 0.745 0.745 W
```

Results
The density of states at the Fermi level comes out at 0.85 states/eV/atom. As for the energy of formation: -4 meV per atom. Its theoretical density is 17.8 Mg/m³. The uncorrected energy is -10.534 eV per atom. As for the relative energy among the computed polymorphs: 88 kJ/mol of formula units.

- Which value of theoretical density does entry 3 give?
  3.8 Mg/m³

- Among the records above, which one has the lowest uncorrected energy?
  IrRhW2